# Dy2MnPt

A relaxed structure of Dy2MnPt (PBE-GGA, Alexandria).

a b c (Å): 3.5392 3.5392 6.8848
angles (deg): 90.00 90.00 90.00
Last column: nearest neighbours and their distance in Å.
Sites, in units of the cell vectors:
Mn 0.5000 0.5000 0.5000  8 Dy 3.06
Pt 0.5000 0.5000 0.0000  8 Dy 3.02
Dy 0.0000 0.0000 0.7555  4 Pt 3.02, 4 Mn 3.06, 1 Dy 3.37
Dy 0.0000 0.0000 0.2445  4 Pt 3.02, 4 Mn 3.06, 1 Dy 3.37

Values from the calculation:
- M_tot: 2.94 Bohr magnetons per cell
- E: -6.62 eV per atom
- Energy of formation: -0.515 eV per atom